# 1
This record from Alexandria describes RbCd2Pt after structural relaxation. The functional is GGA-PBE.

The structure in extended XYZ format:
```
8
Lattice="2.341 -6.412 0.000 2.341 6.412 0.000 0.000 0.000 8.104" Properties=species:S:1:pos:R:3 pbc="T T T"
Rb 2.341 5.823 6.078
Rb 2.341 -5.823 2.026
Cd 2.341 2.430 4.590
Cd 2.341 2.430 7.566
Cd 2.341 -2.430 0.538
Cd 2.341 -2.430 3.514
Pt 2.341 3.531 2.026
Pt 2.341 -3.531 6.078
```

Results
* magnetic moment: 0.00 μB/cell
* space group: Cmcm
* E_form: -20.68 kJ/mol of atoms
* DOS(E_F): 3.579 states/eV per cell
* total DFT energy (no corrections): -0.178 Ry per atom

---

# 2
This record from Alexandria describes ZrTe2Pt after structural relaxation. The functional is GGA-PBE.

The structure in extended XYZ format:
```
4
Lattice="2.991 -4.718 0.000 2.991 4.718 0.000 -2.975 0.000 3.398" Properties=species:S:1:pos:R:3 pbc="T T T"
Zr 0.000 0.000 0.000
Te 0.008 2.359 1.699
Te 0.008 -2.359 1.699
Pt 2.991 0.000 0.000
```

Results
* uncorrected formation energy: -204 meV/atom
* magnetic moment: 0.00 μB/cell
* space group: C2/m
* DOS(E_F): 3.157 states/eV per cell
* total DFT energy (no corrections): -0.398 Ry per atom

---

# 3
This record from Alexandria describes MgCd2 after structural relaxation. The functional is GGA-PBE.

The structure in extended XYZ format:
```
12
Lattice="5.799 0.000 0.000 -2.899 5.022 0.000 0.000 0.000 9.365" Properties=species:S:1:pos:R:3 pbc="T T T"
Mg 0.000 3.348 0.602
Mg 0.000 3.348 4.080
Mg 2.899 1.674 5.285
Mg 2.899 1.674 8.763
Cd 0.000 0.000 0.000
Cd 0.000 0.000 4.682
Cd 0.000 1.721 7.024
Cd -1.409 4.161 7.024
Cd 1.491 0.861 2.341
Cd 1.409 4.161 7.024
Cd 4.308 0.861 2.341
Cd 2.899 3.301 2.341
```

Results
* magnetic moment: 0.00 μB/cell
* space group: P6_3/mmc
* E_form: 0.23 kJ/mol of atoms
* DOS(E_F): 3.359 states/eV per cell
* total DFT energy (no corrections): -0.084 Ry per atom

---

# 4
This record from Alexandria describes K2TiBr5 after structural relaxation. The functional is GGA-PBE.

The structure in extended XYZ format:
```
32
Lattice="9.593 0.000 0.000 0.000 7.416 0.000 0.000 0.000 14.978" Properties=species:S:1:pos:R:3 pbc="T T T"
K 0.585 1.854 2.866
K 1.723 5.562 6.186
K 3.073 1.854 13.675
K 4.211 5.562 10.355
K 5.382 1.854 4.623
K 6.520 5.562 1.303
K 7.869 1.854 8.792
K 9.007 5.562 12.112
Ti 1.801 5.562 0.830
Ti 2.996 1.854 8.319
Ti 6.597 5.562 6.659
Ti 7.792 1.854 14.148
Br 0.000 0.000 0.000
Br 0.000 3.708 0.000
Br 0.505 5.562 3.039
Br 1.429 0.020 9.028
Br 1.429 3.688 9.028
Br 2.179 1.854 5.824
Br 2.617 5.562 13.313
Br 3.368 3.728 1.539
Br 3.368 7.396 1.539
Br 4.291 1.854 10.528
Br 4.796 0.000 7.489
Br 4.796 3.708 7.489
Br 5.301 5.562 4.450
Br 6.225 0.020 13.439
Br 6.225 3.688 13.439
Br 6.976 1.854 1.665
Br 7.413 5.562 9.154
Br 8.164 3.728 5.950
Br 8.164 7.396 5.950
Br 9.087 1.854 11.939
```

Results
* uncorrected formation energy: -1448 meV/atom
* magnetic moment: 4.00 μB/cell
* space group: Pnma
* DOS(E_F): 21.577 states/eV per cell
* total DFT energy (no corrections): -0.276 Ry per atom